A relaxed structure of CaMnBO4. Source: Alexandria via LeMat-Bulk, functional PBE+U.

## Properties
**Raw total energy**: -102.09 eV/cell
**DOS at the Fermi energy**: 0.4352 states/eV per atom
**Calculated density**: 3.624 g/cm3

Structure (POSCAR):
```
CaMnBO4
1.0
-0.078 0.112 -5.219
-4.346 -2.064 2.028
-2.592 5.614 0.160
Ca Mn B O
2 2 2 8
Cartesian
-3.508 1.831 -1.516
-2.212 -0.976 -1.596
-1.431 1.156 -3.982
-5.585 2.506 0.950
-4.438 -0.377 1.124
-2.577 4.040 -4.156
-2.967 3.752 -0.360
-5.558 2.609 -2.229
-3.507 4.945 -3.421
-2.476 2.712 -3.484
-3.508 -1.283 0.389
-4.539 0.950 0.453
-4.048 -0.089 -2.671
-1.458 1.054 -0.802
```